Entry 1:
# YMg6AlO8 GGA-PBE optimized geometry
data_YMg6AlO8
_cell_length_a 4.4833
_cell_length_b 4.4833
_cell_length_c 8.8937
_cell_angle_alpha 90.00
_cell_angle_beta 90.00
_cell_angle_gamma 90.00
_space_group_name_H-M_alt 'P 4/m m m'
_space_group_IT_number 123
_space_group_name_Hall '-P 4 2'
loop_
_atom_site_label
_atom_site_fract_x
_atom_site_fract_y
_atom_site_fract_z
Y1 0.0000 0.0000 0.0000
Mg1 0.0000 0.5000 0.2647
Mg2 0.5000 0.5000 0.0000
Mg3 0.5000 0.5000 0.5000
Al1 0.0000 0.0000 0.5000
O1 0.0000 0.0000 0.2563
O2 0.0000 0.5000 0.0000
O3 0.0000 0.5000 0.5000
O4 0.5000 0.5000 0.2512
# DOS at the Fermi energy: 4.36 states/eV per cell
# M_tot: 0.00 μB per atom

---

Entry 2:
# MgAl2Zn2O6 GGA-PBE optimized geometry
data_MgAl2Zn2O6
_cell_length_a 5.0370
_cell_length_b 8.8199
_cell_length_c 5.1826
_cell_angle_alpha 90.00
_cell_angle_beta 108.62
_cell_angle_gamma 90.00
_space_group_name_H-M_alt 'C 1 2/m 1'
_space_group_IT_number 12
loop_
_space_group_symop_operation_xyz
'x,y,z'
'-x,-y,-z'
'-x,y,-z'
'x,-y,z'
'x+1/2,y+1/2,z'
'-x+1/2,-y+1/2,-z'
'-x+1/2,y+1/2,-z'
'x+1/2,-y+1/2,z'
loop_
_atom_site_label
_atom_site_fract_x
_atom_site_fract_y
_atom_site_fract_z
Mg1 0.0000 0.0000 0.0000
Al1 0.0000 0.3373 0.0000
Zn1 0.0000 0.1667 0.5000
O1 0.2256 0.5000 0.2088
O2 0.2371 0.1845 0.2168
# DOS at the Fermi energy: 0.00 states/eV per cell
# M_tot: 0.00 μB per atom

---

Entry 3:
# MgAlOs GGA-PBE optimized geometry
data_MgAlOs
_cell_length_a 6.0409
_cell_length_b 6.0409
_cell_length_c 6.0409
_cell_angle_alpha 90.00
_cell_angle_beta 90.00
_cell_angle_gamma 90.00
_space_group_name_H-M_alt 'F -4 3 m'
_space_group_IT_number 216
_space_group_name_Hall 'F -4 2 3'
loop_
_atom_site_label
_atom_site_fract_x
_atom_site_fract_y
_atom_site_fract_z
Mg1 0.0000 0.0000 0.0000
Al1 0.0000 0.0000 0.5000
Os1 0.2500 0.2500 0.2500
# Formation energy from the elements: 0.25 eV/atom
# DOS at the Fermi energy: 10.54 states/eV per cell
# M_tot: 0.00 μB per atom

---

Entry 4:
# MgAlOs2 GGA-PBE optimized geometry
data_MgAlOs2
_cell_length_a 3.0602
_cell_length_b 3.0602
_cell_length_c 6.2719
_cell_angle_alpha 90.00
_cell_angle_beta 90.00
_cell_angle_gamma 90.00
_space_group_name_H-M_alt 'P 4/m m m'
_space_group_IT_number 123
_space_group_name_Hall '-P 4 2'
loop_
_atom_site_label
_atom_site_fract_x
_atom_site_fract_y
_atom_site_fract_z
Mg1 0.0000 0.0000 0.0000
Al1 0.0000 0.0000 0.5000
Os1 0.5000 0.5000 0.2752
# Formation energy from the elements: 0.06 eV/atom
# DOS at the Fermi energy: 4.32 states/eV per cell
# M_tot: 0.00 μB per atom

---

Entry 5:
# MgAlOs2 GGA-PBE optimized geometry
data_MgAlOs2
_cell_length_a 6.1845
_cell_length_b 6.1845
_cell_length_c 6.1845
_cell_angle_alpha 90.00
_cell_angle_beta 90.00
_cell_angle_gamma 90.00
_space_group_name_H-M_alt 'F -4 3 m'
_space_group_IT_number 216
_space_group_name_Hall 'F -4 2 3'
loop_
_atom_site_label
_atom_site_fract_x
_atom_site_fract_y
_atom_site_fract_z
Mg1 0.0000 0.0000 0.0000
Al1 0.2500 0.2500 0.2500
Os1 0.0000 0.0000 0.5000
Os2 0.2500 0.2500 0.7500
# Formation energy from the elements: 0.10 eV/atom
# DOS at the Fermi energy: 15.59 states/eV per cell
# M_tot: 0.00 μB per atom

---

Entry 6:
# MgAlOs2 GGA-PBE optimized geometry
data_MgAlOs2
_cell_length_a 3.0051
_cell_length_b 4.6346
_cell_length_c 8.5714
_cell_angle_alpha 90.00
_cell_angle_beta 90.00
_cell_angle_gamma 90.00
_space_group_name_H-M_alt 'I m m m'
_space_group_IT_number 71
_space_group_name_Hall '-I 2 2'
loop_
_atom_site_label
_atom_site_fract_x
_atom_site_fract_y
_atom_site_fract_z
Mg1 0.0000 0.0000 0.0000
Al1 0.0000 0.0000 0.5000
Os1 0.0000 0.5000 0.2333
# Formation energy from the elements: 0.07 eV/atom
# DOS at the Fermi energy: 5.94 states/eV per cell
# M_tot: 0.00 μB per atom

---

| no. | DFT total energy (eV for the cell shown) |
| --- | --- |
| 1 | -97.563 |
| 2 | -132.870 |
| 3 | -63.276 |
| 4 | -27.565 |
| 5 | -109.566 |
| 6 | -55.068 |